w.
Cd3AsH | PBE | relaxed Values from VASP.

Computed properties:
- density of states at the Fermi level (states/eV/atom) = 0.3512

Structure (Quantum ESPRESSO input):
```
&SYSTEM
  ibrav = 0, nat = 5, ntyp = 3
/
ATOMIC_SPECIES
H 1.01 H.upf
As 74.92 As.upf
Cd 112.41 Cd.upf
ATOMIC_POSITIONS crystal
H 0.000 0.000 0.000
As 0.500 0.500 0.500
Cd 0.000 0.500 0.000
Cd 0.000 0.000 0.500
Cd 0.500 0.000 0.000
CELL_PARAMETERS angstrom
-0.050 1.412 4.316
0.877 -4.232 1.394
4.456 0.849 -0.226
```



x.
Cd3AsH | PBE | relaxed Values from VASP.

Computed properties:
- density of states at the Fermi level (states/eV/atom) = 0.1971

Structure (Quantum ESPRESSO input):
```
&SYSTEM
  ibrav = 0, nat = 5, ntyp = 3
/
ATOMIC_SPECIES
H 1.01 H.upf
As 74.92 As.upf
Cd 112.41 Cd.upf
ATOMIC_POSITIONS crystal
H 0.500 0.500 0.500
As 0.000 0.000 0.000
Cd 0.000 0.500 0.000
Cd 0.000 0.000 0.500
Cd 0.500 0.000 0.000
CELL_PARAMETERS angstrom
5.396 0.000 0.000
0.000 5.396 0.000
0.000 0.000 5.396
```



Which of them is the most stable, and which is the least stable? w and x, in that order.



w.
Na2CdAsH | PBE | relaxed Values from VASP.

Computed properties:
- density of states at the Fermi level (states/eV/atom) = 0.1534

Structure (Quantum ESPRESSO input):
```
&SYSTEM
  ibrav = 0, nat = 5, ntyp = 4
/
ATOMIC_SPECIES
Na 22.99 Na.upf
As 74.92 As.upf
H 1.01 H.upf
Cd 112.41 Cd.upf
ATOMIC_POSITIONS crystal
Na 0.000 0.500 0.000
Na 0.500 0.000 0.000
As 0.500 0.500 0.500
H 0.000 0.000 0.000
Cd 0.000 0.000 0.500
CELL_PARAMETERS angstrom
-3.845 0.191 -2.012
-0.814 -4.104 1.166
-2.017 1.537 3.999
```



x.
Na2CdAsH | PBE | relaxed Values from VASP.

Computed properties:
- density of states at the Fermi level (states/eV/atom) = 0.4884

Structure (Quantum ESPRESSO input):
```
&SYSTEM
  ibrav = 0, nat = 5, ntyp = 4
/
ATOMIC_SPECIES
Na 22.99 Na.upf
As 74.92 As.upf
H 1.01 H.upf
Cd 112.41 Cd.upf
ATOMIC_POSITIONS crystal
Na 0.000 0.000 0.500
Na 0.500 0.000 0.000
As 0.000 0.500 0.000
H 0.500 0.500 0.500
Cd 0.000 0.000 0.000
CELL_PARAMETERS angstrom
-5.070 3.187 -1.226
-0.145 -1.927 -4.412
-3.410 -4.608 2.124
```



Which of them is the most stable, and which is the least stable? w and x, in that order.



w.
HfCd3As | PBE | relaxed Values from VASP.

Computed properties:
- density of states at the Fermi level (states/eV/atom) = 1.1347

Structure (Quantum ESPRESSO input):
```
&SYSTEM
  ibrav = 0, nat = 5, ntyp = 3
/
ATOMIC_SPECIES
As 74.92 As.upf
Hf 178.49 Hf.upf
Cd 112.41 Cd.upf
ATOMIC_POSITIONS crystal
As 0.000 0.000 0.000
Hf 0.500 0.500 0.500
Cd 0.000 0.500 0.000
Cd 0.000 0.000 0.500
Cd 0.500 0.000 0.000
CELL_PARAMETERS angstrom
-0.956 1.265 -4.882
-4.645 -2.155 0.351
-1.963 4.483 1.546
```



x.
HfCd3As | PBE | relaxed Values from VASP.

Computed properties:
- density of states at the Fermi level (states/eV/atom) = 1.3463

Structure (Quantum ESPRESSO input):
```
&SYSTEM
  ibrav = 0, nat = 5, ntyp = 3
/
ATOMIC_SPECIES
As 74.92 As.upf
Hf 178.49 Hf.upf
Cd 112.41 Cd.upf
ATOMIC_POSITIONS crystal
As 0.500 0.500 0.500
Hf 0.000 0.000 0.000
Cd 0.000 0.500 0.000
Cd 0.000 0.000 0.500
Cd 0.500 0.000 0.000
CELL_PARAMETERS angstrom
5.516 0.000 0.000
0.000 5.516 0.000
0.000 0.000 5.516
```



Which of them is the most stable, and which is the least stable? w and x, in that order.



w.
Hf2CdAs | PBE | relaxed Values from VASP.

Computed properties:
- density of states at the Fermi level (states/eV/atom) = 0.6649

Structure (Quantum ESPRESSO input):
```
&SYSTEM
  ibrav = 0, nat = 4, ntyp = 3
/
ATOMIC_SPECIES
As 74.92 As.upf
Hf 178.49 Hf.upf
Cd 112.41 Cd.upf
ATOMIC_POSITIONS crystal
As 0.000 0.000 0.000
Hf 0.263 0.263 0.210
Hf 0.737 0.737 0.790
Cd 0.500 0.500 0.500
CELL_PARAMETERS angstrom
-3.583 -0.474 0.048
-1.723 -1.066 -2.994
-0.773 -7.833 1.051
```



x.
Hf2CdAs | PBE | relaxed Values from VASP.

Computed properties:
- density of states at the Fermi level (states/eV/atom) = 0.7554

Structure (Quantum ESPRESSO input):
```
&SYSTEM
  ibrav = 0, nat = 8, ntyp = 3
/
ATOMIC_SPECIES
As 74.92 As.upf
Hf 178.49 Hf.upf
Cd 112.41 Cd.upf
ATOMIC_POSITIONS crystal
As 0.500 0.500 0.000
As 0.250 0.750 0.500
Hf 0.602 0.125 0.250
Hf 0.148 0.625 0.250
Hf 0.375 0.398 0.750
Hf 0.875 0.852 0.750
Cd 0.000 0.000 0.000
Cd 0.750 0.250 0.500
CELL_PARAMETERS angstrom
-2.447 6.547 2.860
-7.139 -2.365 -0.693
-4.675 0.922 3.860
```



Which of them is the most stable, and which is the least stable? w and x, in that order.



w.
Cd2AsI | PBE | relaxed Values from VASP.

Computed properties:
- density of states at the Fermi level (states/eV/atom) = 0.1231

Structure (Quantum ESPRESSO input):
```
&SYSTEM
  ibrav = 0, nat = 4, ntyp = 3
/
ATOMIC_SPECIES
I 126.90 I.upf
As 74.92 As.upf
Cd 112.41 Cd.upf
ATOMIC_POSITIONS crystal
I 0.000 0.000 0.000
As 0.500 0.500 0.500
Cd 0.116 0.116 0.652
Cd 0.884 0.884 0.348
CELL_PARAMETERS angstrom
4.334 0.000 0.000
2.167 3.753 0.000
2.167 1.251 8.119
```



x.
Cd2AsI | PBE | relaxed Values from VASP.

Computed properties:
- density of states at the Fermi level (states/eV/atom) = 0.6487

Structure (Quantum ESPRESSO input):
```
&SYSTEM
  ibrav = 0, nat = 4, ntyp = 3
/
ATOMIC_SPECIES
I 126.90 I.upf
As 74.92 As.upf
Cd 112.41 Cd.upf
ATOMIC_POSITIONS crystal
I 0.500 0.500 0.500
As 0.000 0.000 0.000
Cd 0.250 0.250 0.250
Cd 0.750 0.750 0.750
CELL_PARAMETERS angstrom
0.000 3.729 3.729
3.729 0.000 3.729
3.729 3.729 0.000
```



y.
Cd2AsI | PBE | relaxed Values from VASP.

Computed properties:
- density of states at the Fermi level (states/eV/atom) = 0.2381

Structure (Quantum ESPRESSO input):
```
&SYSTEM
  ibrav = 0, nat = 4, ntyp = 3
/
ATOMIC_SPECIES
Cd 112.41 Cd.upf
As 74.92 As.upf
I 126.90 I.upf
ATOMIC_POSITIONS crystal
Cd 0.067 0.067 0.800
Cd 0.280 0.280 0.161
As 0.666 0.666 0.002
I 0.488 0.488 0.537
CELL_PARAMETERS angstrom
-0.852 1.557 3.854
-0.462 -2.631 3.296
6.940 0.138 3.814
```



Which of them is the most stable, and which is the least stable? w and x, in that order.



w.
Cd2AsI | PBE | relaxed Values from VASP.

Computed properties:
- density of states at the Fermi level (states/eV/atom) = 0.0000

Structure (Quantum ESPRESSO input):
```
&SYSTEM
  ibrav = 0, nat = 8, ntyp = 3
/
ATOMIC_SPECIES
I 126.90 I.upf
As 74.92 As.upf
Cd 112.41 Cd.upf
ATOMIC_POSITIONS crystal
I 0.000 0.000 0.000
I 0.750 0.250 0.500
As 0.500 0.500 0.000
As 0.250 0.750 0.500
Cd 0.553 0.125 0.250
Cd 0.197 0.625 0.250
Cd 0.375 0.447 0.750
Cd 0.875 0.803 0.750
CELL_PARAMETERS angstrom
-0.223 4.858 4.382
1.585 -4.214 4.753
7.045 1.548 3.532
```



x.
Cd2AsI | PBE | relaxed Values from VASP.

Computed properties:
- density of states at the Fermi level (states/eV/atom) = 0.0000

Structure (Quantum ESPRESSO input):
```
&SYSTEM
  ibrav = 0, nat = 4, ntyp = 3
/
ATOMIC_SPECIES
Cd 112.41 Cd.upf
As 74.92 As.upf
I 126.90 I.upf
ATOMIC_POSITIONS crystal
Cd 0.689 0.935 0.471
Cd 0.189 0.434 0.471
As 0.689 0.435 0.254
I 0.189 0.935 0.824
CELL_PARAMETERS angstrom
4.659 0.000 -0.001
0.000 4.660 0.000
-0.001 -0.001 6.129
```



Which of them is the most stable, and which is the least stable? w and x, in that order.



w.
Cd2As2I | PBE | relaxed Values from VASP.

Computed properties:
- density of states at the Fermi level (states/eV/atom) = 0.8543

Structure (Quantum ESPRESSO input):
```
&SYSTEM
  ibrav = 0, nat = 10, ntyp = 3
/
ATOMIC_SPECIES
I 126.90 I.upf
As 74.92 As.upf
Cd 112.41 Cd.upf
ATOMIC_POSITIONS crystal
I 0.000 0.000 0.000
I 0.500 0.500 0.000
As 0.130 0.630 0.500
As 0.630 0.870 0.500
As 0.870 0.370 0.500
As 0.370 0.130 0.500
Cd 0.340 0.840 0.000
Cd 0.840 0.660 0.000
Cd 0.660 0.160 0.000
Cd 0.160 0.340 0.000
CELL_PARAMETERS angstrom
-5.137 7.111 2.326
-4.751 -0.920 -7.677
-1.912 -1.841 1.404
```



x.
Cd2As2I | PBE | relaxed Values from VASP.

Computed properties:
- density of states at the Fermi level (states/eV/atom) = 0.5835

Structure (Quantum ESPRESSO input):
```
&SYSTEM
  ibrav = 0, nat = 5, ntyp = 3
/
ATOMIC_SPECIES
I 126.90 I.upf
As 74.92 As.upf
Cd 112.41 Cd.upf
ATOMIC_POSITIONS crystal
I 0.000 0.000 0.000
As 0.372 0.372 0.256
As 0.628 0.628 0.744
Cd 0.750 0.250 0.500
Cd 0.250 0.750 0.500
CELL_PARAMETERS angstrom
5.246 0.000 0.000
0.000 5.246 0.000
2.623 2.623 4.749
```



Which of them is the most stable, and which is the least stable? x and w, in that order.



w.
CdSbAsI2 | PBE | relaxed Values from VASP.

Computed properties:
- density of states at the Fermi level (states/eV/atom) = 0.8290

Structure (Quantum ESPRESSO input):
```
&SYSTEM
  ibrav = 0, nat = 5, ntyp = 4
/
ATOMIC_SPECIES
I 126.90 I.upf
Sb 121.76 Sb.upf
As 74.92 As.upf
Cd 112.41 Cd.upf
ATOMIC_POSITIONS crystal
I 0.000 0.500 0.000
I 0.500 0.000 0.000
Sb 0.000 0.000 0.500
As 0.500 0.500 0.500
Cd 0.000 0.000 0.000
CELL_PARAMETERS angstrom
-1.136 4.528 3.357
-5.518 -1.592 0.280
1.169 -3.217 4.736
```



x.
CdSbAsI2 | PBE | relaxed Values from VASP.

Computed properties:
- density of states at the Fermi level (states/eV/atom) = 0.7100

Structure (Quantum ESPRESSO input):
```
&SYSTEM
  ibrav = 0, nat = 5, ntyp = 4
/
ATOMIC_SPECIES
I 126.90 I.upf
Sb 121.76 Sb.upf
As 74.92 As.upf
Cd 112.41 Cd.upf
ATOMIC_POSITIONS crystal
I 0.000 0.500 0.000
I 0.500 0.000 0.000
Sb 0.000 0.000 0.500
As 0.000 0.000 0.000
Cd 0.500 0.500 0.500
CELL_PARAMETERS angstrom
-5.045 -1.698 1.913
2.341 -4.770 1.940
1.025 2.508 4.928
```



Which of them is the most stable, and which is the least stable? x and w, in that order.